VASP calculation (PBE) on AlHg2Sb2 after structural relaxation.

Computed properties:
E above lowest polymorph   0.133 eV/atom
SG   P4/mbm (127)
Magnetic moment   0.0 μB per formula unit
Formation energy from raw total energies   346.6 meV/atom

Geometry as CIF:
```
data_AlHg2Sb2
_chemical_formula_sum 'Al2 Hg4 Sb4'
_cell_length_a 8.573
_cell_length_b 8.573
_cell_length_c 3.595
_cell_angle_alpha 90.00
_cell_angle_beta 90.00
_cell_angle_gamma 90.00
_space_group_name_H-M_alt 'P 1'
_space_group_IT_number 1
loop_
_space_group_symop_operation_xyz
'x,y,z'
loop_
_atom_site_label
_atom_site_fract_x
_atom_site_fract_y
_atom_site_fract_z
Hg1 0.351 0.851 0.000
Hg2 0.149 0.351 0.000
Hg3 0.649 0.149 0.000
Hg4 0.851 0.649 0.000
Sb1 0.849 0.349 0.500
Sb2 0.651 0.849 0.500
Sb3 0.151 0.651 0.500
Sb4 0.349 0.151 0.500
Al1 0.000 0.000 0.000
Al2 0.500 0.500 0.000
```


VASP calculation (PBE) on Ta2MoPt after structural relaxation.

Computed properties:
SG   P4mm (99)
Magnetic moment   0.0 μB per formula unit
Energy of formation from the pure elements   -0.21 eV/atom

Geometry as CIF:
```
data_Ta2MoPt
_chemical_formula_sum 'Ta2 Mo1 Pt1'
_cell_length_a 3.324
_cell_length_b 3.324
_cell_length_c 6.150
_cell_angle_alpha 90.00
_cell_angle_beta 90.00
_cell_angle_gamma 90.00
_space_group_name_H-M_alt 'P 1'
_space_group_IT_number 1
loop_
_space_group_symop_operation_xyz
'x,y,z'
loop_
_atom_site_label
_atom_site_fract_x
_atom_site_fract_y
_atom_site_fract_z
Mo1 0.000 0.000 0.489
Ta1 0.500 0.500 0.261
Ta2 0.000 0.000 0.993
Pt1 0.500 0.500 0.757
```